1.
The following is a PBE calculation of a relaxed structure of Pm2NdGa, from Alexandria.

Cell lengths 5.462, 5.462, 5.462 Å; angles 60.00, 60.00, 60.00 degrees
Fractional positions:
Pm  0.250  0.250  0.250
Pm  0.750  0.750  0.750
Nd  0.000  0.000  0.000
Ga  0.500  0.500  0.500

Formation enthalpy at 0 K: -0.060 eV per atom
Volume: 115.2 Å³ per cell
Final energy: -17.54 eV per cell
M_tot: 1.2 μB/cell

---

2.
The following is a PBE calculation of a relaxed structure of LiS8Cl2, from Alexandria.

Cell lengths 8.234, 8.234, 6.665 Å; angles 111.68, 111.68, 43.63 degrees
Fractional positions:
Li  0.000  0.000  0.000
S  0.110  0.592  0.835
S  0.345  0.345  0.601
S  0.394  0.394  0.082
S  0.408  0.890  0.165
S  0.592  0.110  0.835
S  0.606  0.606  0.918
S  0.655  0.655  0.399
S  0.890  0.408  0.165
Cl  0.096  0.096  0.791
Cl  0.904  0.904  0.209

Energy relative to the elements, uncorrected: -0.066 eV/atom
Volume: 286.1 Å³ per cell
Final energy: -39.35 eV per cell
M_tot: 0.0 μB/cell

---

3.
The following is a PBE calculation of a relaxed structure of HoTmAs2O8, from Alexandria.

Cell lengths 6.641, 6.641, 6.641 Å; angles 135.64, 135.64, 64.54 degrees
Fractional positions:
Ho  0.000  0.000  0.000
Tm  0.250  0.750  0.500
As  0.500  0.500  0.000
As  0.750  0.250  0.500
O  0.270  0.674  0.104
O  0.326  0.430  0.596
O  0.417  0.018  0.093
O  0.570  0.166  0.896
O  0.676  0.583  0.601
O  0.834  0.730  0.404
O  0.925  0.324  0.907
O  0.982  0.075  0.399

Energy relative to the elements, uncorrected: -2.366 eV/atom
Volume: 141.2 Å³ per cell
Final energy: -86.40 eV per cell
M_tot: 0.0 μB/cell

---

4.
The following is a PBE calculation of a relaxed structure of Mn2FeBr, from Alexandria.

Cell lengths 6.268, 6.268, 6.268 Å; angles 131.32, 131.32, 71.30 degrees
Fractional positions:
Mn  0.083  0.625  0.958
Mn  0.375  0.333  0.458
Mn  0.667  0.125  0.042
Mn  0.875  0.917  0.542
Fe  0.000  0.000  0.000
Fe  0.750  0.250  0.500
Br  0.250  0.750  0.500
Br  0.500  0.500  0.000

Energy relative to the elements, uncorrected: 1.041 eV/atom
Volume: 135.9 Å³ per cell
Final energy: -48.62 eV per cell
M_tot: 0.0 μB/cell

---

5.
The following is a PBE calculation of a relaxed structure of CsNa, from Alexandria.

Cell lengths 8.567, 8.567, 8.552 Å; angles 90.00, 90.00, 90.00 degrees
Fractional positions:
Cs  0.191  0.191  0.000
Cs  0.309  0.691  0.500
Cs  0.691  0.309  0.500
Cs  0.809  0.809  0.000
Na  0.163  0.163  0.500
Na  0.337  0.663  0.000
Na  0.663  0.337  0.000
Na  0.837  0.837  0.500

Formation enthalpy at 0 K: 0.092 eV per atom
Volume: 627.7 Å³ per cell
Final energy: -7.95 eV per cell
M_tot: 0.0 μB/cell

---

6.
The following is a PBE calculation of a relaxed structure of SrTaNO2, from Alexandria.

Cell lengths 5.829, 4.012, 9.150 Å; angles 90.00, 107.45, 90.00 degrees
Fractional positions:
Sr  0.000  0.000  0.000
Sr  0.330  0.000  0.657
Sr  0.670  0.000  0.328
Ta  0.171  0.500  0.334
Ta  0.488  0.500  0.981
Ta  0.834  0.500  0.669
N  0.151  0.500  0.819
N  0.474  0.500  0.483
N  0.654  0.500  0.827
O  0.120  0.000  0.313
O  0.276  0.500  0.146
O  0.470  0.000  0.001
O  0.783  0.500  0.163
O  0.813  0.000  0.644
O  0.972  0.500  0.482

Energy relative to the elements, uncorrected: -2.392 eV/atom
Volume: 204.1 Å³ per cell
Final energy: -131.21 eV per cell
M_tot: 0.0 μB/cell

---

7.
The following is a PBE calculation of a relaxed structure of Ga2HgH6, from Alexandria.

Cell lengths 5.414, 5.414, 5.414 Å; angles 60.00, 60.00, 60.00 degrees
Fractional positions:
Ga  0.250  0.250  0.250
Ga  0.750  0.750  0.750
Hg  0.000  0.000  0.000
H  0.241  0.241  0.759
H  0.241  0.759  0.241
H  0.241  0.759  0.759
H  0.759  0.241  0.241
H  0.759  0.241  0.759
H  0.759  0.759  0.241

Volume: 112.2 Å³ per cell
Final energy: -19.97 eV per cell
M_tot: 0.0 μB/cell

---

8.
The following is a PBE calculation of a relaxed structure of ZnTcNi2, from Alexandria.

Cell lengths 8.483, 8.483, 8.483 Å; angles 17.91, 17.91, 17.91 degrees
Fractional positions:
Zn  0.000  0.000  0.000
Tc  0.500  0.500  0.500
Ni  0.250  0.250  0.250
Ni  0.750  0.750  0.750

Formation enthalpy at 0 K: -0.012 eV per atom
Volume: 50.4 Å³ per cell
Final energy: -23.25 eV per cell
M_tot: 0.0 μB/cell

---

9.
The following is a PBE calculation of a relaxed structure of SmDy2Cd4, from Alexandria.

Cell lengths 7.912, 7.912, 7.912 Å; angles 140.43, 140.43, 57.21 degrees
Fractional positions:
Sm  0.000  0.000  0.000
Dy  0.260  0.260  0.000
Dy  0.740  0.740  0.000
Cd  0.117  0.617  0.500
Cd  0.383  0.883  0.500
Cd  0.617  0.117  0.500
Cd  0.883  0.383  0.500

Formation enthalpy at 0 K: -0.152 eV per atom
Volume: 199.3 Å³ per cell
Final energy: -18.65 eV per cell
M_tot: 0.0 μB/cell

---

10.
The following is a PBE calculation of a relaxed structure of KMo3Rh, from Alexandria.

Cell lengths 4.887, 4.887, 4.887 Å; angles 90.00, 90.00, 90.00 degrees
Fractional positions:
K  0.000  0.000  0.000
Mo  0.000  0.500  0.500
Mo  0.500  0.000  0.500
Mo  0.500  0.500  0.000
Rh  0.500  0.500  0.500

Formation enthalpy at 0 K: 1.785 eV per atom
Volume: 116.7 Å³ per cell
Final energy: -32.02 eV per cell
M_tot: 3.4 μB/cell

---

11.
The following is a PBE calculation of a relaxed structure of RbMgNiS2, from Alexandria.

Cell lengths 4.998, 4.998, 4.864 Å; angles 90.00, 90.00, 90.00 degrees
Fractional positions:
Rb  0.000  0.000  0.000
Mg  0.500  0.500  0.500
Ni  0.500  0.500  0.000
S  0.000  0.500  0.500
S  0.500  0.000  0.500

Energy relative to the elements, uncorrected: 0.053 eV/atom
Volume: 121.5 Å³ per cell
Final energy: -16.34 eV per cell
M_tot: 1.0 μB/cell